Computed, not measured: Er8Sb4Te3 after structural relaxation at the PBE level of DFT.

```
Er8Sb4Te3
1.0
8.619 -0.114 -0.164
-4.201 7.495 0.123
-4.201 -2.486 7.072
Er Sb Te
8 4 3
Cartesian
-2.005 3.718 5.341
0.109 -0.085 5.279
2.224 1.177 1.690
-4.201 4.989 1.868
6.466 1.146 1.646
0.109 4.980 1.752
-6.248 3.749 5.385
-4.201 0.020 5.327
4.310 -0.057 -0.082
-2.100 -1.243 3.536
0.000 0.000 0.000
-2.100 3.747 0.062
2.209 3.691 -0.020
2.209 -1.300 3.454
0.109 2.447 3.516
```

The value obtained for the uncorrected formation energy is -1.0369 eV/atom.

---

Computed, not measured: Er7Sb2Te2 after structural relaxation at the PBE level of DFT.

```
Er7Sb2Te2
1.0
6.988 -0.003 -0.337
0.003 6.938 0.003
-0.772 -0.003 6.954
Te Er Sb
2 7 2
Cartesian
4.825 6.935 1.701
1.393 -0.003 4.919
3.492 1.864 -0.166
3.112 5.107 3.309
-0.382 5.071 3.477
3.107 1.826 3.311
6.601 1.861 3.143
2.727 5.068 6.786
0.000 0.000 0.000
4.971 3.465 5.291
1.248 3.468 1.329
```

The value obtained for the uncorrected formation energy is -0.4453 eV/atom.

---

Computed, not measured: Er6SbTe2 after structural relaxation at the PBE level of DFT.

```
Er6SbTe2
1.0
-1.479 -5.715 -2.819
1.517 -3.680 6.667
-9.767 1.974 3.312
Te Er Sb
4 12 2
Cartesian
-1.367 -2.322 4.677
-8.363 -5.099 2.483
-3.120 -2.306 0.563
-6.609 -5.115 6.597
-6.033 -3.279 1.457
-7.752 0.495 2.304
-2.938 -4.973 2.179
-5.772 -6.176 3.801
-1.978 -7.916 4.856
-9.442 -5.714 5.410
0.148 -5.026 4.860
-3.696 -4.142 5.703
-9.877 -2.395 2.301
-6.791 -2.449 4.982
-0.287 -1.707 1.750
-3.957 -1.245 3.359
-4.884 0.987 1.656
0.019 -4.698 1.924
```

The value obtained for the uncorrected formation energy is -0.6898 eV/atom.

---

Computed, not measured: Er6Sb2Te after structural relaxation at the PBE level of DFT.

```
Er6Sb2Te
1.0
6.475 0.000 0.178
0.000 8.032 0.000
-0.557 0.000 10.059
Sb Er Te
4 12 2
Cartesian
2.584 0.987 2.700
5.543 3.029 7.818
3.334 7.045 7.537
0.375 5.003 2.419
3.629 1.258 9.610
5.147 5.622 9.647
4.034 3.748 2.930
2.289 6.774 0.627
3.730 1.606 5.709
2.188 6.426 4.528
5.248 5.274 5.746
0.771 2.410 0.590
1.885 4.284 7.307
0.670 2.758 4.491
5.400 7.763 2.366
0.518 0.268 7.871
-0.278 0.000 5.030
3.237 4.016 0.089
```

The value obtained for the uncorrected formation energy is -0.7039 eV/atom.

---

Computed, not measured: Er7Sb4Te4 after structural relaxation at the PBE level of DFT.

```
Er7Sb4Te4
1.0
-2.720 4.951 5.743
0.497 -5.008 10.203
8.482 6.275 4.257
Er Te Sb
14 8 8
Cartesian
5.650 2.315 11.979
-2.066 3.761 4.363
2.770 -1.797 8.511
0.610 3.903 8.224
2.747 4.061 3.450
2.020 1.541 10.928
6.210 3.064 5.949
-1.638 0.590 10.015
-0.585 -0.648 5.931
2.864 1.145 6.019
3.396 5.072 14.185
4.239 4.677 9.275
3.015 7.165 6.550
-0.654 1.190 1.380
0.444 -0.687 12.102
0.554 1.873 4.298
5.816 6.904 8.101
-2.266 3.125 7.533
6.080 5.348 3.919
0.044 -3.182 8.414
-0.318 5.878 6.081
5.705 4.345 15.906
3.262 4.078 6.504
6.712 2.991 9.074
0.908 0.751 8.257
4.357 -0.336 10.828
-0.452 3.226 11.129
5.352 5.467 11.946
1.902 6.553 9.376
2.998 2.140 13.699
```

The value obtained for the uncorrected formation energy is -1.0361 eV/atom.

---

Computed, not measured: ErSbTe3 after structural relaxation at the PBE level of DFT.

```
ErSbTe3
1.0
-6.050 2.017 4.370
-7.135 -2.174 -2.034
-3.674 -5.885 4.471
Er Sb Te
2 2 6
Cartesian
-8.098 -5.694 5.096
-8.760 -0.349 1.711
-4.020 -3.084 2.696
-12.838 -2.959 4.110
-8.397 -0.063 4.720
-6.402 -2.149 1.030
-5.814 -3.683 5.192
-11.044 -2.360 1.615
-10.457 -3.893 5.777
-8.462 -5.979 2.087
```

The energy above the lowest structure with this stoichiometry is 1.32 kcal/mol of atoms. The value obtained for the uncorrected formation energy is -0.6604 eV/atom.

---

Computed, not measured: Er4SbTe after structural relaxation at the PBE level of DFT.

```
Er4SbTe
1.0
8.161 -0.246 0.000
-3.521 7.366 0.000
-2.320 -3.560 6.971
Er Te Sb
8 2 2
Cartesian
-2.972 4.464 4.927
4.640 -3.014 5.533
3.524 2.767 1.441
5.290 -0.902 2.047
2.880 0.669 4.924
-0.557 2.890 2.044
1.210 -0.779 1.438
-1.211 0.781 5.530
3.482 5.343 0.000
2.922 -1.900 3.486
5.237 1.652 3.486
1.157 1.775 0.000
```

The value obtained for the uncorrected formation energy is -0.3793 eV/atom.

---

Computed, not measured: Er4SbTe3 after structural relaxation at the PBE level of DFT.

```
Er4SbTe3
1.0
4.325 0.000 0.000
0.000 7.500 -0.065
0.000 -2.426 7.097
Sb Te Er
1 3 4
Cartesian
2.163 0.000 0.000
0.000 3.750 -0.032
0.000 -1.213 3.548
2.163 2.537 3.516
2.163 0.001 5.345
0.000 3.853 5.341
0.000 1.220 1.692
2.163 5.072 1.687
```

The value obtained for the uncorrected formation energy is -1.2124 eV/atom.

---

Computed, not measured: Er10Sb3Te3 after structural relaxation at the PBE level of DFT.

```
Er10Sb3Te3
1.0
-4.671 3.443 2.023
-0.145 4.376 -7.781
-4.951 -7.351 1.081
Sb Er Te
3 10 3
Cartesian
-4.253 -1.126 1.430
-2.391 3.416 -2.003
-5.457 -0.102 -3.094
-6.043 -3.785 1.821
-0.036 1.097 -1.951
-2.444 4.999 -4.817
-3.614 0.974 -0.671
-3.818 -2.230 -5.021
-4.525 -2.575 -1.364
-6.843 -0.867 -0.360
-5.241 3.042 -3.314
-2.923 1.334 -4.318
-1.241 -1.843 0.271
-3.036 -4.509 0.663
-1.970 -1.151 -2.591
-0.089 2.684 -4.773
```

The value obtained for the uncorrected formation energy is -0.8909 eV/atom.

---

Computed, not measured: Er2SbTe after structural relaxation at the PBE level of DFT.

```
Er2SbTe
1.0
-2.513 3.766 -4.123
-5.537 -1.093 2.376
1.460 9.462 7.753
Er Te Sb
8 4 4
Cartesian
-2.111 8.727 6.985
-2.858 3.890 3.020
-3.731 8.244 2.987
0.276 6.802 3.772
-4.479 3.408 -0.978
-6.866 5.333 2.235
-5.975 1.086 2.357
-0.615 11.048 3.649
-1.703 4.008 -2.124
-4.106 5.827 1.003
-4.887 8.127 8.131
-2.484 6.307 5.004
-0.081 4.490 1.877
-3.376 10.557 4.881
-6.509 7.644 4.130
-3.214 1.578 1.126
```

The energy above the lowest structure with this stoichiometry is 0.04 kcal/mol of atoms. The value obtained for the uncorrected formation energy is -1.1990 eV/atom.

---

Computed, not measured: ErSbTe after structural relaxation at the PBE level of DFT.

```
ErSbTe
1.0
3.961 0.000 0.000
0.000 3.961 0.000
-1.981 -1.981 5.144
Er Sb Te
1 1 1
Cartesian
1.981 1.981 1.660
0.000 0.000 3.312
0.000 0.000 0.172
```

The value obtained for the uncorrected formation energy is -0.7454 eV/atom.

---

Computed, not measured: Er6Sb5Te after structural relaxation at the PBE level of DFT.

```
Er6Sb5Te
1.0
-4.228 0.346 6.221
-3.239 -6.690 1.205
3.505 -5.180 4.188
Er Sb Te
6 5 1
Cartesian
-5.575 -4.725 5.550
-1.892 -1.619 1.876
-1.721 -9.460 5.451
-1.752 -5.523 3.693
-2.241 -2.065 6.163
-2.210 -6.001 7.920
0.171 -7.912 3.591
0.095 -3.959 1.802
-0.293 -4.404 6.120
-3.669 -7.120 5.494
-3.733 -3.172 3.713
0.000 0.000 0.000
```

The value obtained for the uncorrected formation energy is -1.1524 eV/atom.

---

Computed, not measured: ErSbTe after structural relaxation at the PBE level of DFT.

```
ErSbTe
1.0
-0.716 4.142 -0.638
-3.908 -0.894 -1.417
-1.002 -0.863 9.685
Sb Er Te
2 2 2
Cartesian
-1.954 -0.447 -0.709
-0.358 2.071 -0.319
-3.236 1.836 1.387
-2.390 0.548 6.243
-1.254 0.288 3.276
-4.372 2.097 4.354
```

The value obtained for the uncorrected formation energy is -1.0194 eV/atom.

---

Computed, not measured: ErSbTe3 after structural relaxation at the PBE level of DFT.

```
ErSbTe3
1.0
-1.875 3.331 2.032
-6.470 -7.126 5.715
10.164 -0.738 10.588
Er Te Sb
4 12 4
Cartesian
7.183 -2.328 12.751
-0.548 -5.564 10.925
2.367 1.032 7.410
-5.364 -2.205 5.584
4.361 -1.577 13.527
6.277 -1.184 10.039
-0.376 0.153 6.321
3.210 0.424 4.572
-2.030 1.330 2.864
-1.391 -4.957 13.762
2.822 -1.990 8.173
3.849 -5.863 15.471
-1.003 -2.543 10.161
2.195 -4.685 12.014
-4.458 -3.349 8.295
-2.542 -2.956 4.808
0.274 -2.641 6.889
1.545 -1.892 11.445
-5.191 -6.042 7.424
7.010 1.509 10.911
```

The energy above the lowest structure with this stoichiometry is 0.00 kcal/mol of atoms. The value obtained for the uncorrected formation energy is -0.7177 eV/atom.

---

Computed, not measured: Er4SbTe2 after structural relaxation at the PBE level of DFT.

```
Er4SbTe2
1.0
8.029 -1.176 -0.147
-1.752 7.924 0.146
-3.030 -3.473 6.687
Sb Er Te
2 8 4
Cartesian
6.276 6.747 0.000
-0.822 3.913 3.417
-0.205 -2.272 5.391
1.889 -1.073 2.023
0.381 2.109 5.445
0.995 2.905 1.296
5.321 3.805 1.241
3.792 -2.843 4.517
6.206 -0.163 1.965
4.388 1.528 4.575
3.600 1.371 1.640
-1.923 0.216 5.047
2.087 -0.368 4.976
2.729 5.328 1.710
```

The energy above the lowest structure with this stoichiometry is 0.87 kcal/mol of atoms. The value obtained for the uncorrected formation energy is -0.8886 eV/atom.

---

Computed, not measured: Er8Sb2Te after structural relaxation at the PBE level of DFT.

```
Er8Sb2Te
1.0
-3.145 2.342 0.854
-2.747 -5.997 6.333
6.650 3.631 5.107
Er Sb Te
8 2 1
Cartesian
-0.520 -1.333 1.743
-2.107 -1.180 4.907
1.173 -0.097 4.588
0.049 2.610 2.454
2.865 1.156 7.386
-0.415 0.073 7.705
1.278 1.309 10.550
0.709 -2.634 9.839
-0.365 -2.980 6.832
1.122 2.955 5.461
-1.573 1.171 0.427
```

The value obtained for the uncorrected formation energy is -0.5718 eV/atom.

---

Computed, not measured: Er2SbTe after structural relaxation at the PBE level of DFT.

```
Er2SbTe
1.0
4.250 0.000 0.000
2.125 3.681 0.000
2.125 1.227 7.483
Te Sb Er
1 1 2
Cartesian
4.250 2.454 3.769
6.375 3.681 7.448
2.125 1.227 1.743
2.125 1.227 5.747
```

The energy above the lowest structure with this stoichiometry is 1.04 kcal/mol of atoms. The value obtained for the uncorrected formation energy is -1.1555 eV/atom.

---

Computed, not measured: Er5SbTe5 after structural relaxation at the PBE level of DFT.

```
Er5SbTe5
1.0
-0.524 5.449 -2.753
-3.676 -5.521 -3.407
-5.040 2.753 6.408
Te Er Sb
5 5 1
Cartesian
-3.257 2.734 -0.788
-2.520 1.377 3.204
-5.982 -0.053 1.035
-3.505 -1.398 -2.099
-5.735 4.079 2.346
-3.751 1.309 -3.513
-0.262 2.725 -1.377
-2.953 0.002 0.566
-5.489 1.372 3.760
-6.286 2.680 -0.319
0.000 0.000 0.000
```

The value obtained for the uncorrected formation energy is -1.3138 eV/atom.

---

Computed, not measured: Er2SbTe after structural relaxation at the PBE level of DFT.

```
Er2SbTe
1.0
-0.969 -4.068 1.161
0.698 -1.319 4.075
-6.633 0.274 3.536
Er Sb Te
2 1 1
Cartesian
-1.646 -1.303 2.171
-5.257 -3.809 6.601
0.000 0.000 0.000
-3.452 -2.556 4.386
```

The energy above the lowest structure with this stoichiometry is 0.00 kcal/mol of atoms. The value obtained for the uncorrected formation energy is -1.2008 eV/atom.

---

Computed, not measured: ErThSbTe after structural relaxation at the PBE level of DFT.

```
ErThSbTe
1.0
4.420 0.000 0.000
0.000 4.420 0.000
0.000 0.000 6.270
Th Sb Er Te
1 1 1 1
Cartesian
0.000 0.000 3.135
0.000 0.000 0.000
2.210 2.210 0.000
2.210 2.210 3.135
```

The energy above the lowest structure with this stoichiometry is 0.00 kcal/mol of atoms. The value obtained for the uncorrected formation energy is -1.0475 eV/atom.